(1)
# Dy2ZrZn3

A relaxed Dy2ZrZn3 crystal (PBE, Alexandria via LeMat-Bulk).

Summary:
energy above the most stable polymorph in this dataset	0.11	eV/f.u.
M_tot	0.001	μB per formula unit
calculated volume	127	Å³/cell
formation energy	-1.63	eV/f.u.

a = 4.923 Å, b = 4.923 Å, c = 6.065 Å
α = 90.00°, β = 90.00°, γ = 120.00°
Sites, in units of the cell vectors:
1 Dy 0.667 0.333 0.327
2 Dy 0.333 0.667 0.673
3 Zn 0.667 0.333 0.840
4 Zn 0.333 0.667 0.160
5 Zn 0.000 0.000 0.500
6 Zr 0.000 0.000 0.000

***

(2)
# DyZr3

A relaxed DyZr3 crystal (PBE, Alexandria via LeMat-Bulk).

Summary:
energy above the most stable polymorph in this dataset	0.25	eV/f.u.
M_tot	0.000	μB per formula unit
calculated volume	99	Å³/cell
formation energy	0.45	eV/f.u.

a = 4.626 Å, b = 4.626 Å, c = 4.626 Å
α = 90.00°, β = 90.00°, γ = 90.00°
Sites, in units of the cell vectors:
1 Zr 0.500 0.000 0.500
2 Zr 0.500 0.500 0.000
3 Zr 0.000 0.500 0.500
4 Dy 0.000 0.000 0.000

***

(3)
# Dy2Zr

A relaxed Dy2Zr crystal (PBE, Alexandria via LeMat-Bulk).

Summary:
M_tot	0.000	μB per formula unit
calculated volume	85	Å³/cell
formation energy	0.23	eV/f.u.

a = 3.399 Å, b = 3.399 Å, c = 7.717 Å
α = 102.72°, β = 102.72°, γ = 90.00°
Sites, in units of the cell vectors:
1 Dy 0.656 0.656 0.313
2 Dy 0.344 0.344 0.687
3 Zr 0.000 0.000 0.000

***

(4)
# DyZr2

A relaxed DyZr2 crystal (PBE, Alexandria via LeMat-Bulk).

Summary:
M_tot	0.000	μB per formula unit
calculated volume	77	Å³/cell
formation energy	0.27	eV/f.u.

a = 3.323 Å, b = 3.322 Å, c = 8.251 Å
α = 78.37°, β = 78.37°, γ = 60.18°
Sites, in units of the cell vectors:
1 Dy 0.281 0.026 0.553
2 Zr 0.061 0.805 0.206
3 Zr 0.502 0.245 0.900

***

(5)
# Dy8Zr

A relaxed Dy8Zr crystal (PBE, Alexandria via LeMat-Bulk).

Summary:
M_tot	0.000	μB per formula unit
calculated volume	275	Å³/cell
formation energy	1.36	eV/f.u.

a = 3.572 Å, b = 8.958 Å, c = 8.958 Å
α = 87.72°, β = 78.50°, γ = 78.50°
Sites, in units of the cell vectors:
1 Dy 0.666 0.334 0.334
2 Dy 0.342 0.000 0.316
3 Dy 0.334 0.666 0.666
4 Dy 0.000 0.666 0.334
5 Dy 0.000 0.334 0.666
6 Dy 0.658 0.684 0.000
7 Dy 0.658 0.000 0.684
8 Dy 0.342 0.316 0.000
9 Zr 0.000 0.000 0.000

***

(6)
# DyZr3

A relaxed DyZr3 crystal (PBE, Alexandria via LeMat-Bulk).

Summary:
energy above the most stable polymorph in this dataset	0.55	eV/f.u.
M_tot	0.000	μB per formula unit
calculated volume	98	Å³/cell
formation energy	0.75	eV/f.u.

a = 5.174 Å, b = 5.174 Å, c = 5.174 Å
α = 60.00°, β = 60.00°, γ = 60.00°
Sites, in units of the cell vectors:
1 Zr 0.250 0.250 0.250
2 Zr 0.750 0.750 0.750
3 Zr 0.000 0.000 0.000
4 Dy 0.500 0.500 0.500

***

(7)
# Dy5Zr

A relaxed Dy5Zr crystal (PBE, Alexandria via LeMat-Bulk).

Summary:
M_tot	0.000	μB per formula unit
calculated volume	178	Å³/cell
formation energy	0.36	eV/f.u.

a = 4.935 Å, b = 4.898 Å, c = 7.759 Å
α = 108.40°, β = 90.00°, γ = 90.00°
Sites, in units of the cell vectors:
1 Dy 0.500 0.839 0.678
2 Dy 0.500 0.500 0.000
3 Dy 0.000 0.660 0.321
4 Dy 0.000 0.340 0.679
5 Dy 0.500 0.161 0.322
6 Zr 0.000 0.000 0.000

***

(8)
# DyZr2

A relaxed DyZr2 crystal (PBE, Alexandria via LeMat-Bulk).

Summary:
M_tot	0.000	μB per formula unit
calculated volume	76	Å³/cell
formation energy	0.30	eV/f.u.

a = 3.228 Å, b = 3.228 Å, c = 7.684 Å
α = 102.13°, β = 102.13°, γ = 90.00°
Sites, in units of the cell vectors:
1 Dy 0.000 0.000 0.000
2 Zr 0.325 0.325 0.650
3 Zr 0.675 0.675 0.350